ThGa6Pt4: optimized geometry, PBE.

Cell and atoms, written as POSCAR:
```
ThGa6Pt4
1.0
7.4353 0.0000 0.0000
-3.7177 6.4392 0.0000
0.0000 0.0000 4.0240
Th Ga Pt
1 6 4
direct
0.0000 0.0000 0.0000 Th
0.0657 0.5328 0.0000 Ga
0.3982 0.1991 0.5000 Ga
0.4672 0.5328 0.0000 Ga
0.4672 0.9343 0.0000 Ga
0.8009 0.1991 0.5000 Ga
0.8009 0.6018 0.5000 Ga
0.1984 0.3969 0.5000 Pt
0.1984 0.8016 0.5000 Pt
0.6031 0.8016 0.5000 Pt
0.6667 0.3333 0.0000 Pt
```

Results
**Calculated volume**: 192.66 Å³/cell
**Calculated total energy**: -5.2827 eV/atom
**SG**: P-6m2 (187)